[1]
First-principles (GGA-PBE) data for YP after structural relaxation, as listed in Alexandria. Values from VASP.

Geometry as Quantum ESPRESSO input:
```
&SYSTEM
  ibrav = 0, nat = 16, ntyp = 2
/
ATOMIC_SPECIES
P 30.97 P.upf
Y 88.91 Y.upf
CELL_PARAMETERS angstrom
-8.062 1.562 2.560
-2.419 -7.727 -2.904
1.773 -3.442 7.682
ATOMIC_POSITIONS angstrom
P -1.410 -1.555 1.188
P -1.847 -9.108 4.419
P -2.371 -4.363 4.968
P -3.728 -5.750 1.541
P -5.663 -2.826 8.114
P -8.498 -5.724 0.956
P -5.555 -2.742 3.310
P -5.764 -6.359 4.857
Y -3.021 -6.819 -0.862
Y -3.002 -3.311 2.529
Y -6.258 -5.226 2.422
Y -6.910 -0.416 2.905
Y -3.203 -6.781 4.013
Y -4.956 -3.895 5.711
Y -7.356 -8.114 6.198
Y -0.131 -3.865 6.435
```

Properties
V	637	Å³/cell
DFT total energy	-110.8	eV/cell
ΔE_f	-0.989	eV/atom
symmetry	No. 217



[2]
First-principles (GGA-PBE) data for YSc2Si after structural relaxation, as listed in Alexandria. Values from VASP.

Geometry as Quantum ESPRESSO input:
```
&SYSTEM
  ibrav = 0, nat = 4, ntyp = 3
/
ATOMIC_SPECIES
Y 88.91 Y.upf
Sc 44.96 Sc.upf
Si 28.09 Si.upf
CELL_PARAMETERS angstrom
-2.577 3.312 -0.442
-1.032 -1.292 -3.664
-4.726 -3.623 0.401
ATOMIC_POSITIONS angstrom
Y -5.196 -1.704 -2.622
Sc -2.846 0.239 -1.764
Sc -0.426 -0.336 -0.039
Si -2.747 -2.259 -0.912
```

Properties
V	95	Å³/cell
DFT total energy	-25.8	eV/cell
formation energy (no corrections)	-301	meV per atom
symmetry	No. 38



[3]
First-principles (GGA-PBE) data for ScMnZnSn after structural relaxation, as listed in Alexandria. Values from VASP.

Geometry as Quantum ESPRESSO input:
```
&SYSTEM
  ibrav = 0, nat = 4, ntyp = 4
/
ATOMIC_SPECIES
Mn 54.94 Mn.upf
Sc 44.96 Sc.upf
Zn 65.41 Zn.upf
Sn 118.71 Sn.upf
CELL_PARAMETERS angstrom
4.698 0.000 0.000
2.349 4.069 0.000
2.349 1.356 3.836
ATOMIC_POSITIONS angstrom
Mn 2.349 1.356 0.959
Sc 7.047 4.069 2.877
Zn 0.000 0.000 0.000
Sn 4.698 2.713 1.918
```

Properties
V	73	Å³/cell
DFT total energy	-21.3	eV/cell
ΔE_f	-0.142	eV/atom
symmetry	No. 216